Here is a relaxed structure of Ba2YOs from Alexandria via LeMat-Bulk. Energies are from GGA-PBE.

The crystal system is tetragonal. The symmetry is No. 123. The energy above the most stable polymorph in this dataset comes out at 0.515 eV/atom. The total energy is -4.6314 eV per atom. The calculation puts the formation energy at 753 meV per atom.

abc: 3.6621 3.6621 10.5316
angles: 90.00 90.00 90.07
With the nearest neighbours (Å) after each atom.
Fractional coordinates of all 4 atoms:
Y (0.5000, 0.5000, 0.7500)  4 Y 3.66
Ba (0.0000, 0.0000, 0.0696)  4 Os 3.21
Ba (0.0000, 0.0000, 0.4304)  4 Os 3.21
Os (0.5000, 0.5000, 0.2500)  8 Ba 3.21

***

Here is a relaxed structure of Ba2YOs from Alexandria via LeMat-Bulk. Energies are from GGA-PBE.

The crystal system is tetragonal. The symmetry is No. 99. The energy above the most stable polymorph in this dataset comes out at 0.043 eV/atom. The total energy is -5.1033 eV per atom. The calculation puts the formation energy at 281 meV per atom.

abc: 3.6709 3.6709 10.7272
angles: 90.00 90.00 90.05
With the nearest neighbours (Å) after each atom.
Fractional coordinates of all 4 atoms:
Os (0.0000, 0.0000, 0.5324)  4 Y 2.93-2.94
Y (0.5000, 0.5000, 0.6600)  4 Os 2.93-2.94
Ba (0.0000, 0.0000, 0.9676)  4 Ba 3.67
Ba (0.5000, 0.5000, 0.3399)  4 Os 3.32, 1 Y 3.43, 4 Ba 3.67

***

Here is a relaxed structure of Ba2YOs from Alexandria via LeMat-Bulk. Energies are from GGA-PBE.

The crystal system is trigonal. The symmetry is No. 160. The energy above the most stable polymorph in this dataset comes out at 0.070 eV/atom. The total energy is -5.0759 eV per atom. The calculation puts the formation energy at 309 meV per atom.

abc: 9.2235 9.2235 9.2235
angles: 29.73 29.73 29.73
With the nearest neighbours (Å) after each atom.
Fractional coordinates of all 4 atoms:
Os (0.4547, 0.4547, 0.4547)  3 Y 2.73
Ba (0.2158, 0.2158, 0.2158)  3 Y 3.62, 3 Os 3.70
Y (0.7927, 0.7927, 0.7927)  3 Os 2.73
Ba (0.0368, 0.0368, 0.0368)  3 Os 3.53, 3 Y 3.61

***

Here is a relaxed structure of Ba2YOs from Alexandria via LeMat-Bulk. Energies are from GGA-PBE.

The crystal system is orthorhombic. The symmetry is No. 65. The energy above the most stable polymorph in this dataset comes out at 0.682 eV/atom. The total energy is -4.4645 eV per atom. The calculation puts the formation energy at 920 meV per atom.

abc: 7.5095 5.9465 3.9425
angles: 89.95 58.42 117.25
With the nearest neighbours (Å) after each atom.
Fractional coordinates of all 4 atoms:
Ba (0.5000, 0.0000, 0.5000)  2 Ba 3.20, 4 Y 3.57, 4 Os 3.57
Os (0.0000, 0.5000, 0.5000)  2 Y 3.20, 8 Ba 3.57
Ba (0.0000, 0.0000, 0.0000)  2 Ba 3.20, 4 Os 3.57, 4 Y 3.57
Y (0.5000, 0.5000, 0.0000)  2 Os 3.20, 8 Ba 3.57

***

Here is a relaxed structure of BaY2ZnOs from Alexandria via LeMat-Bulk. Energies are from GGA-PBE.

The crystal system is tetragonal. The symmetry is No. 123. The total energy is -5.4395 eV per atom. The calculation puts the formation energy at 31 meV per atom.

abc: 5.3933 5.2425 5.3933
angles: 90.00 90.00 90.00
With the nearest neighbours (Å) after each atom.
Fractional coordinates of all 5 atoms:
Zn (0.0000, 0.5000, 0.0000)  2 Os 2.62
Y (0.0000, 0.0000, 0.5000)  2 Os 2.70
Ba (0.5000, 0.5000, 0.5000)  8 Y 3.76, 4 Zn 3.81
Os (0.0000, 0.0000, 0.0000)  2 Zn 2.62, 4 Y 2.70
Y (0.5000, 0.0000, 0.0000)  2 Os 2.70

***

Here is a relaxed structure of Ba2ZnOs2 from Alexandria via LeMat-Bulk. Energies are from GGA-PBE.

The crystal system is tetragonal. The symmetry is No. 127. The total energy is -4.0832 eV per atom. The calculation puts the formation energy at 1433 meV per atom.

abc: 9.8472 9.8472 2.8865
angles: 90.00 90.00 90.00
With the nearest neighbours (Å) after each atom.
Fractional coordinates of all 10 atoms:
Ba (0.3584, 0.8584, 0.0000)  2 Ba 2.89, 2 Os 3.17
Zn (0.5000, 0.5000, 0.0000)  2 Zn 2.89
Os (0.6554, 0.8446, 0.5000)  2 Os 2.89, 2 Ba 3.17
Os (0.8446, 0.3446, 0.5000)  2 Os 2.89, 2 Ba 3.17
Ba (0.1416, 0.3584, 0.0000)  2 Ba 2.89, 2 Os 3.17
Ba (0.8584, 0.6416, 0.0000)  2 Ba 2.89, 2 Os 3.17
Ba (0.6416, 0.1416, 0.0000)  2 Ba 2.89, 2 Os 3.17
Os (0.3446, 0.1554, 0.5000)  2 Os 2.89, 2 Ba 3.17
Zn (0.0000, 0.0000, 0.0000)  2 Zn 2.89
Os (0.1554, 0.6554, 0.5000)  2 Os 2.89, 2 Ba 3.17

***

Here is a relaxed structure of Ba2ZnOs from Alexandria via LeMat-Bulk. Energies are from GGA-PBE.

The crystal system is tetragonal. The symmetry is No. 122. The total energy is -3.6868 eV per atom. The calculation puts the formation energy at 401 meV per atom.

abc: 11.5088 11.5088 8.5077
angles: 47.44 47.44 90.00
With the nearest neighbours (Å) after each atom.
Fractional coordinates of all 8 atoms:
Ba (0.8750, 0.0635, 0.7500)  2 Os 3.03
Os (0.7500, 0.2500, 0.5000)  2 Zn 2.48
Zn (0.5000, 0.5000, 0.0000)  2 Os 2.48
Os (0.0000, 0.0000, 0.0000)  2 Zn 2.48
Zn (0.2500, 0.7500, 0.5000)  2 Os 2.48
Ba (0.8135, 0.1250, 0.2500)  2 Os 3.03
Ba (0.3750, 0.1865, 0.7500)  2 Os 3.03
Ba (0.9365, 0.6250, 0.2500)  2 Os 3.03

***

Here is a relaxed structure of BaZn4Os from Alexandria via LeMat-Bulk. Energies are from GGA-PBE.

The crystal system is cubic. The symmetry is No. 216. The total energy is -2.6925 eV per atom. The calculation puts the formation energy at 349 meV per atom.

abc: 5.3781 5.3781 5.3781
angles: 60.00 60.00 60.00
With the nearest neighbours (Å) after each atom.
Fractional coordinates of all 6 atoms:
Zn (0.3723, 0.3723, 0.8832)  6 Zn 2.63-2.75
Zn (0.3723, 0.3723, 0.3723)  6 Zn 2.63-2.75
Ba (0.7500, 0.7500, 0.7500)  12 Zn 3.16, 4 Os 3.29
Zn (0.8832, 0.3723, 0.3723)  6 Zn 2.63-2.75
Zn (0.3723, 0.8832, 0.3723)  6 Zn 2.63-2.75
Os (0.0000, 0.0000, 0.0000)  12 Zn 3.15, 4 Ba 3.29

***

Here is a relaxed structure of BaZnOs2 from Alexandria via LeMat-Bulk. Energies are from GGA-PBE.

The crystal system is monoclinic. The symmetry is No. 10. The total energy is -5.7953 eV per atom. The calculation puts the formation energy at 619 meV per atom.

abc: 4.5545 4.2970 5.2835
angles: 79.24 90.00 90.00
With the nearest neighbours (Å) after each atom.
Fractional coordinates of all 4 atoms:
Os (0.0000, 0.0194, 0.1505)  2 Os 2.36-2.41, 2 Zn 2.58
Os (0.0000, 0.4806, 0.3495)  2 Os 2.36-2.41, 2 Zn 2.58
Ba (0.5000, 0.7500, 0.7500)  2 Zn 3.08
Zn (0.5000, 0.2500, 0.2500)  4 Os 2.58

***

Here is a relaxed structure of BaZnOs2 from Alexandria via LeMat-Bulk. Energies are from GGA-PBE.

The crystal system is monoclinic. The symmetry is No. 6. The total energy is -5.9710 eV per atom. The calculation puts the formation energy at 443 meV per atom.

abc: 3.7229 2.9242 8.1907
angles: 69.15 90.00 90.00
With the nearest neighbours (Å) after each atom.
Fractional coordinates of all 4 atoms:
Ba (0.5000, 0.7461, 0.7547)  2 Ba 2.92
Os (0.5000, 0.2746, 0.2249)  4 Os 2.58, 4 Zn 2.84
Zn (0.0000, 0.5696, 0.4308)  5 Os 2.61-2.84
Os (0.0000, 0.9097, 0.0897)  4 Os 2.58, 1 Zn 2.61

***

Here is a relaxed structure of BaZnOs2 from Alexandria via LeMat-Bulk. Energies are from GGA-PBE.

The crystal system is tetragonal. The symmetry is No. 123. The total energy is -5.0740 eV per atom. The calculation puts the formation energy at 1340 meV per atom.

abc: 4.7374 4.1003 4.1003
angles: 90.00 90.00 90.00
With the nearest neighbours (Å) after each atom.
Fractional coordinates of all 4 atoms:
Os (0.0000, 0.0000, 0.0000)  4 Os 2.90, 4 Zn 3.13, 4 Ba 3.13
Zn (0.5000, 0.5000, 0.0000)  4 Ba 2.90, 8 Os 3.13
Ba (0.5000, 0.0000, 0.5000)  4 Zn 2.90, 8 Os 3.13
Os (0.0000, 0.5000, 0.5000)  4 Os 2.90, 4 Ba 3.13, 4 Zn 3.13

***

Here is a relaxed structure of Ba2Zn2Os from Alexandria via LeMat-Bulk. Energies are from GGA-PBE.

The crystal system is tetragonal. The symmetry is No. 139. The energy above the most stable polymorph in this dataset comes out at 0.063 eV/atom. The total energy is -3.0805 eV per atom. The calculation puts the formation energy at 444 meV per atom.

abc: 6.3148 6.3148 5.8164
angles: 57.12 57.12 90.00
With the nearest neighbours (Å) after each atom.
Fractional coordinates of all 5 atoms:
Ba (0.2500, 0.7500, 0.5000)  4 Zn 3.22
Os (0.0000, 0.0000, 0.0000)  2 Zn 2.50
Zn (0.6651, 0.6651, 0.6698)  1 Zn 2.46, 1 Os 2.50
Ba (0.7500, 0.2500, 0.5000)  4 Zn 3.22
Zn (0.3349, 0.3349, 0.3302)  1 Zn 2.46, 1 Os 2.50